(1)
OsPtSe2: relaxed, GGA-PBE.

```
data_OsPtSe2
_chemical_formula_sum 'Os2 Pt2 Se4'
_space_group_name_H-M_alt 'P 1'
_space_group_IT_number 1
_cell_length_a 5.625
_cell_length_b 5.625
_cell_length_c 6.864
_cell_angle_alpha 65.81
_cell_angle_beta 65.81
_cell_angle_gamma 90.00
loop_
_space_group_symop_operation_xyz
'x,y,z'
loop_
_atom_site_label
_atom_site_fract_x
_atom_site_fract_y
_atom_site_fract_z
Pt1 0.750 0.250 0.500
Pt2 0.000 0.000 0.000
Se1 0.375 0.391 0.750
Se2 0.875 0.859 0.750
Se3 0.141 0.625 0.250
Se4 0.609 0.125 0.250
Os1 0.250 0.750 0.500
Os2 0.500 0.500 0.000
```

Properties
energy relative to the elements, uncorrected = 0.30 eV per atom

(2)
BeTlW2: relaxed, GGA-PBE.

```
data_BeTlW2
_chemical_formula_sum 'Be1 Tl1 W2'
_space_group_name_H-M_alt 'P 1'
_space_group_IT_number 1
_cell_length_a 4.817
_cell_length_b 4.817
_cell_length_c 4.817
_cell_angle_alpha 129.46
_cell_angle_beta 129.46
_cell_angle_gamma 74.27
loop_
_space_group_symop_operation_xyz
'x,y,z'
loop_
_atom_site_label
_atom_site_fract_x
_atom_site_fract_y
_atom_site_fract_z
W1 0.000 0.000 0.000
W2 0.250 0.750 0.500
Tl1 0.750 0.250 0.500
Be1 0.500 0.500 0.000
```

Properties
formation energy from the elements = 0.859 eV per atom

(3)
Na2SrBi2Pb: relaxed, GGA-PBE.

```
data_Na2SrBi2Pb
_chemical_formula_sum 'Na4 Sr2 Bi4 Pb2'
_space_group_name_H-M_alt 'P 1'
_space_group_IT_number 1
_cell_length_a 4.913
_cell_length_b 8.532
_cell_length_c 9.947
_cell_angle_alpha 90.00
_cell_angle_beta 90.00
_cell_angle_gamma 90.00
loop_
_space_group_symop_operation_xyz
'x,y,z'
loop_
_atom_site_label
_atom_site_fract_x
_atom_site_fract_y
_atom_site_fract_z
Na1 0.500 0.551 0.923
Na2 0.000 0.371 0.184
Na3 0.000 0.871 0.816
Na4 0.500 0.051 0.077
Bi1 0.000 0.763 0.122
Bi2 0.000 0.263 0.878
Bi3 0.500 0.757 0.616
Bi4 0.500 0.257 0.384
Sr1 0.000 0.967 0.424
Sr2 0.000 0.467 0.576
Pb1 0.500 0.637 0.300
Pb2 0.500 0.137 0.700
```

Properties
formation energy from the elements = -0.449 eV per atom

(4)
GdTmPdPb: relaxed, GGA-PBE.

```
data_GdTmPdPb
_chemical_formula_sum 'Gd1 Tm1 Pd1 Pb1'
_space_group_name_H-M_alt 'P 1'
_space_group_IT_number 1
_cell_length_a 5.201
_cell_length_b 5.201
_cell_length_c 5.201
_cell_angle_alpha 60.00
_cell_angle_beta 60.00
_cell_angle_gamma 60.00
loop_
_space_group_symop_operation_xyz
'x,y,z'
loop_
_atom_site_label
_atom_site_fract_x
_atom_site_fract_y
_atom_site_fract_z
Pd1 0.500 0.500 0.500
Pb1 0.000 0.000 0.000
Gd1 0.250 0.250 0.250
Tm1 0.750 0.750 0.750
```

Properties
formation energy from the elements = -0.612 eV per atom

Number 1: N(E_F) 0.51 states/eV/atom. Number 2: N(E_F) 0.65 states/eV/atom. Number 3: N(E_F) 0.08 states/eV/atom. Number 4: N(E_F) 0.78 states/eV/atom.